Entry 1:
Material: Ga5I4Cl
Method: DFT, GGA-PBE
State: relaxed

Lattice parameters (Å, degrees): 10.3228 10.3228 6.6161 90.00 90.00 90.00
With the nearest neighbours (Å) after each atom.
Space group I4 (No. 79)
One atom of each set of equivalent atoms:
Ga 0.0000 0.0000 0.0000 [2 per cell]  1 Cl 2.70
Ga 0.0958 0.2870 0.4612 [8 per cell]  1 Cl 3.14, 5 I 3.25-3.37
I 0.0915 0.3055 0.9650 [8 per cell]  6 Ga 3.25-3.37
Cl 0.0000 0.0000 0.4075 [2 per cell]  1 Ga 2.70

Formation energy (no corrections), eV per atom: -0.401
Magnetic moment, μB/f.u.: 0.000

Entry 2:
Material: GaICl3
Method: DFT, GGA-PBE
State: relaxed

Lattice parameters (Å, degrees): 6.9459 6.5276 7.4807 90.00 97.27 90.00
With the nearest neighbours (Å) after each atom.
Space group P2_1/m (No. 11)
One atom of each set of equivalent atoms:
Ga 0.0142 0.2500 0.0173 [2 per cell]  5 Cl 2.36-2.37
I 0.2570 0.7500 0.3113 [2 per cell]  1 Ga 2.90
Cl 0.1896 0.0000 0.8749 [4 per cell]  2 Ga 2.37
Cl 0.2351 0.2500 0.2836 [2 per cell]  1 Ga 2.36

Relative energy among the computed polymorphs, kJ per mole of atoms: 20.4
Formation energy (no corrections), eV per atom: -0.637
Magnetic moment, μB/f.u.: 0.191

Entry 3:
Material: Ga4I5Cl2
Method: DFT, GGA-PBE
State: relaxed

Lattice parameters (Å, degrees): 7.7493 8.0571 9.1273 95.35 109.57 114.77
With the nearest neighbours (Å) after each atom.
Space group P-1 (No. 2)
One atom of each set of equivalent atoms:
Ga 0.1630 0.3963 0.4246 [2 per cell]  1 Cl 2.21
Ga 0.2296 0.5074 0.7180 [2 per cell]  1 Ga 2.55, 3 I 2.75-2.81
I 0.1598 0.6655 0.2657 [2 per cell]  2 Ga 2.72-2.81
I 0.2556 0.8629 0.7611 [2 per cell]  2 Ga 2.77-2.78
I 0.5000 0.5000 0.0000 [1 per cell]  2 Ga 2.75
Cl 0.3252 0.2559 0.3532 [2 per cell]  1 Ga 2.21

Formation energy (no corrections), eV per atom: -0.527
Magnetic moment, μB/f.u.: 0.000

Entry 4:
Material: GaICl3
Method: DFT, GGA-PBE
State: relaxed

Lattice parameters (Å, degrees): 5.0235 5.0235 5.0235 90.00 90.00 90.00
With the nearest neighbours (Å) after each atom.
Space group Pm-3m (No. 221)
One atom of each set of equivalent atoms:
Ga 0.0000 0.0000 0.0000 [1 per cell]  6 Cl 2.51
I 0.5000 0.5000 0.5000 [1 per cell]  12 Cl 3.55
Cl 0.0000 0.0000 0.5000 [3 per cell]  2 Ga 2.51

Relative energy among the computed polymorphs, kJ per mole of atoms: 51.2
Formation energy (no corrections), eV per atom: -0.318
Magnetic moment, μB/f.u.: 1.444

Entry 5:
Material: GaI2Cl
Method: DFT, GGA-PBE
State: relaxed

Lattice parameters (Å, degrees): 9.1534 3.9849 10.3121 90.00 104.06 90.00
With the nearest neighbours (Å) after each atom.
Space group P2_1/m (No. 11)
One atom of each set of equivalent atoms:
Ga 0.2100 0.2500 0.2703 [2 per cell]  2 Cl 2.45, 2 I 2.48-2.50
I 0.2649 0.2500 0.5182 [2 per cell]  1 Ga 2.48
I 0.3974 0.2500 0.1298 [2 per cell]  1 Ga 2.50
Cl 0.0562 0.7500 0.1983 [2 per cell]  2 Ga 2.45

Relative energy among the computed polymorphs, kJ per mole of atoms: 6.3
Formation energy (no corrections), eV per atom: -0.606
Magnetic moment, μB/f.u.: 0.000

Entry 6:
Material: Ga2I2Cl
Method: DFT, GGA-PBE
State: relaxed

Lattice parameters (Å, degrees): 5.5657 5.5657 11.5162 90.00 90.00 90.00
With the nearest neighbours (Å) after each atom.
Space group I4/mmm (No. 139)
One atom of each set of equivalent atoms:
Ga 0.0000 0.5000 0.2500 [4 per cell]  4 I 2.96
I 0.0000 0.0000 0.1620 [4 per cell]  4 Ga 2.96
Cl 0.0000 0.0000 0.5000 [2 per cell]  10 I 3.89-4.36, 8 Ga 4.00

Relative energy among the computed polymorphs, kJ per mole of atoms: 20.9
Formation energy (no corrections), eV per atom: -0.189
Magnetic moment, μB/f.u.: 0.000

Entry 7:
Material: GaICl
Method: DFT, GGA-PBE
State: relaxed

Lattice parameters (Å, degrees): 3.4313 7.2123 9.3297 73.94 89.88 89.91
With the nearest neighbours (Å) after each atom.
Space group P-1 (No. 2)
One atom of each set of equivalent atoms:
Ga 0.2493 0.0424 0.1014 [2 per cell]  2 Cl 2.42, 1 I 2.65
I 0.2489 0.7506 0.3471 [2 per cell]  1 Ga 2.65
Cl 0.2517 0.7507 0.8426 [2 per cell]  2 Ga 2.42

Relative energy among the computed polymorphs, kJ per mole of atoms: 17.5
Formation energy (no corrections), eV per atom: -0.552
Magnetic moment, μB/f.u.: 0.000

Entry 8:
Material: GaICl
Method: DFT, GGA-PBE
State: relaxed

Lattice parameters (Å, degrees): 7.6863 9.8098 9.7372 90.00 128.34 90.00
With the nearest neighbours (Å) after each atom.
Space group P2_1/c (No. 14)
One atom of each set of equivalent atoms:
Ga 0.2084 0.0015 0.3546 [4 per cell]  2 Cl 2.43
I 0.0018 0.2477 0.7506 [4 per cell]  2 Ga 2.75-2.76
Cl 0.4958 0.0003 0.6698 [4 per cell]  2 Ga 2.43

Relative energy among the computed polymorphs, kJ per mole of atoms: 11.3
Formation energy (no corrections), eV per atom: -0.617
Magnetic moment, μB/f.u.: 0.000

Question: Which of these has the highest magnetic moment?
Answer: number 4